The following is a DFT calculation (PBEsol) of crystalline Sr3TeO6 at its relaxed geometry.

Results
The calculated density comes out at 5.189 g/cm3. The value obtained for the total energy is -6.374 eV per atom. The energy relative to the elements, uncorrected is -2.32 eV/atom.

Cell and atoms, written as POSCAR:
```
Sr3TeO6
1.0
-9.536 0.999 -6.773
6.721 -8.766 -3.974
-3.266 -2.271 11.045
O Sr Te
48 24 8
Cartesian
-2.095 -8.820 3.174 O
1.737 -7.270 4.400 O
-8.554 -4.887 3.848 O
-8.718 -0.672 -6.179 O
-9.216 -0.062 -1.290 O
2.473 -5.150 -3.551 O
4.921 -8.584 0.114 O
0.900 -7.946 -0.671 O
-3.996 -3.780 -1.023 O
-4.561 -7.534 -3.834 O
-3.467 -2.969 9.231 O
-6.041 -4.846 -4.005 O
-4.795 -0.447 1.039 O
-6.981 -2.091 0.969 O
-1.390 -5.279 -6.740 O
0.929 -6.276 1.921 O
-2.614 -7.068 -8.934 O
-1.473 -4.743 -0.987 O
-4.607 -5.294 1.284 O
2.053 -7.577 -5.534 O
-7.010 -3.761 -1.624 O
-2.085 -6.258 1.320 O
-5.451 -1.945 3.232 O
-9.436 -3.859 1.512 O
-3.715 -6.465 -0.980 O
-3.352 -4.047 -5.286 O
1.581 -3.979 -1.287 O
-1.520 -2.504 4.131 O
-2.366 -3.572 1.277 O
-7.817 -2.767 -4.103 O
-2.728 -5.990 5.583 O
-0.039 -5.192 4.302 O
-1.267 -5.273 -4.007 O
-4.691 -4.758 7.038 O
-7.661 -6.058 1.584 O
-8.133 -2.460 5.832 O
-0.629 -8.093 -2.935 O
3.135 -9.975 1.587 O
0.428 -9.784 3.210 O
2.637 -9.365 6.476 O
-4.813 -4.765 4.305 O
-3.986 -1.217 -2.877 O
3.355 -6.178 -1.214 O
-1.783 -0.679 0.418 O
-4.297 -9.358 -0.120 O
-11.001 -1.453 0.183 O
-1.285 -9.590 -0.741 O
-6.508 -0.254 -2.913 O
-2.364 -4.726 3.502 Sr
2.824 -7.420 0.841 Sr
0.210 -4.094 0.752 Sr
-3.717 -5.311 -3.204 Sr
-6.291 -5.943 -0.455 Sr
-6.390 -4.094 2.481 Sr
-3.748 -5.417 -7.434 Sr
-0.560 -8.188 1.297 Sr
-2.126 -2.222 -1.619 Sr
0.309 -5.943 -2.183 Sr
-5.482 -2.775 5.592 Sr
-9.623 -2.621 3.881 Sr
-5.520 -1.850 -1.000 Sr
-3.034 -8.536 -2.118 Sr
3.542 -7.416 -3.584 Sr
-8.904 -2.617 -0.544 Sr
2.736 -9.533 4.021 Sr
-3.955 -7.815 1.917 Sr
-8.816 -0.504 -3.724 Sr
-0.598 -7.262 -5.295 Sr
-5.323 -2.607 -4.738 Sr
-3.047 -1.501 2.416 Sr
-0.757 -7.431 5.035 Sr
-2.332 -4.620 7.731 Sr
1.728 -5.518 3.535 Te
-6.401 -0.636 2.136 Te
3.361 -4.383 -1.987 Te
-1.633 -1.135 5.522 Te
-1.407 -3.883 -5.374 Te
-4.768 0.500 -3.387 Te
0.000 0.000 0.000 Te
-3.040 -5.019 0.149 Te
```

The following is a DFT calculation (PBEsol) of crystalline SrTe3O8 at its relaxed geometry.

Results
The calculated density comes out at 6.265 g/cm3. The value obtained for the total energy is -6.007 eV per atom. The energy relative to the elements, uncorrected is -1.47 eV/atom.

Cell and atoms, written as POSCAR:
```
SrTe3O8
1.0
-0.873 -6.604 1.293
4.556 0.393 5.082
-5.021 1.523 4.383
O Te Sr
16 6 2
Cartesian
0.503 -1.894 8.472 O
1.458 -0.338 6.165 O
-0.679 0.415 1.662 O
2.863 0.336 3.651 O
-2.262 -0.309 3.802 O
0.647 -1.570 3.317 O
-1.841 -2.795 2.287 O
-1.985 -3.119 7.442 O
0.924 -4.380 6.957 O
2.423 -2.825 5.015 O
-2.796 -4.351 4.594 O
0.309 -4.132 3.819 O
-3.328 1.579 5.815 O
-3.761 -1.864 5.744 O
-1.647 -0.557 6.941 O
0.214 1.500 7.803 O
1.841 -3.106 3.188 Te
-2.510 0.761 2.192 Te
-2.260 -2.359 4.230 Te
-1.355 1.409 6.279 Te
0.890 0.506 3.187 Te
0.922 -2.329 6.530 Te
-0.655 -4.953 0.970 Sr
-0.218 -1.651 0.323 Sr
```

The following is a DFT calculation (PBEsol) of crystalline Sr3UTe4O14 at its relaxed geometry.

Results
The calculated density comes out at 5.559 g/cm3. The value obtained for the total energy is -6.852 eV per atom. The energy relative to the elements, uncorrected is -2.07 eV/atom.

Cell and atoms, written as POSCAR:
```
Sr3UTe4O14
1.0
-4.184 -0.493 -3.744
8.895 -1.878 -5.452
-1.663 -12.265 3.473
O Te Sr U
28 8 6 2
Cartesian
1.787 -8.258 -1.316 O
2.814 -13.003 -1.658 O
-0.819 -7.792 -2.527 O
3.554 -6.360 -5.954 O
-0.648 -3.488 -2.018 O
3.696 -11.149 -3.705 O
-2.455 -2.471 -3.993 O
1.261 -6.378 -4.407 O
0.546 -11.788 -0.285 O
5.238 -9.148 -4.726 O
-3.096 -11.630 0.672 O
3.867 -6.844 -3.196 O
-2.507 -9.741 -1.201 O
3.148 -9.743 -6.320 O
-0.506 -8.276 0.231 O
6.144 -3.007 -6.395 O
-0.775 -11.007 2.474 O
2.502 -2.848 -5.438 O
0.030 -12.557 -3.029 O
-2.190 -5.488 -0.997 O
3.018 -2.079 -2.694 O
3.823 -3.629 -8.197 O
0.461 -9.123 -4.783 O
5.503 -12.165 -1.730 O
0.234 -1.633 -4.065 O
2.587 -5.513 -0.940 O
5.554 -4.895 -4.522 O
-0.100 -4.893 0.597 O
3.393 -9.433 -4.469 Te
6.116 -3.078 -4.513 Te
-0.843 -3.144 -4.622 Te
-3.068 -11.558 -1.210 Te
0.036 -9.075 -1.354 Te
-0.345 -5.203 -1.254 Te
3.012 -5.561 -4.369 Te
3.891 -11.492 -1.102 Te
-0.251 -1.087 -1.538 Sr
6.380 -7.152 -3.908 Sr
-2.426 -9.337 1.550 Sr
3.299 -13.549 -4.185 Sr
-3.422 -3.420 -1.821 Sr
-3.332 -7.484 -1.815 Sr
2.355 -1.186 -4.598 U
3.616 -7.072 -0.990 U
```

The following is a DFT calculation (PBEsol) of crystalline Sr2Ti2O5 at its relaxed geometry.

Results
The calculated density comes out at 4.878 g/cm3. The value obtained for the total energy is -8.117 eV per atom. The energy relative to the elements, uncorrected is -2.94 eV/atom.

Cell and atoms, written as POSCAR:
```
Sr2Ti2O5
1.0
5.542 0.000 0.000
0.000 5.550 0.000
-2.771 -2.775 7.769
O Sr Ti
10 4 4
Cartesian
4.104 1.388 3.884 O
1.333 1.387 0.125 O
1.333 1.387 3.884 O
4.104 1.387 0.125 O
1.333 1.387 7.644 O
-1.439 1.387 7.644 O
-0.053 -0.207 1.994 O
-0.053 -0.207 5.774 O
2.718 2.982 1.994 O
2.718 2.982 5.774 O
-0.053 2.777 5.934 Sr
2.718 -0.002 5.934 Sr
-0.053 2.777 1.835 Sr
2.718 -0.002 1.835 Sr
5.489 0.000 0.000 Ti
2.718 2.691 3.884 Ti
2.718 2.775 0.000 Ti
-0.053 0.084 3.884 Ti
```

The following is a DFT calculation (PBEsol) of crystalline SrTiO3 at its relaxed geometry.

Results
The calculated density comes out at 4.977 g/cm3. The value obtained for the total energy is -8.335 eV per atom. The energy relative to the elements, uncorrected is -3.15 eV/atom.

Cell and atoms, written as POSCAR:
```
SrTiO3
1.0
5.560 0.000 0.000
-2.780 4.815 0.000
0.000 0.000 13.719
O Sr Ti
18 6 6
Cartesian
1.474 2.359 3.430 O
1.306 2.456 10.289 O
4.190 0.791 1.129 O
0.000 4.719 10.289 O
1.370 0.791 1.129 O
2.780 3.233 5.731 O
4.087 2.359 3.430 O
-1.306 2.456 10.289 O
1.410 4.024 12.590 O
2.780 3.233 1.129 O
-1.410 4.024 7.988 O
-1.410 4.024 12.590 O
0.000 1.582 7.988 O
0.000 1.582 12.590 O
1.370 0.791 5.731 O
1.410 4.024 7.988 O
4.190 0.791 5.731 O
2.780 0.097 3.430 O
0.000 0.000 10.289 Sr
0.000 0.000 3.430 Sr
0.000 3.210 5.425 Sr
2.780 1.605 8.294 Sr
2.780 1.605 12.284 Sr
0.000 3.210 1.435 Sr
0.000 0.000 0.000 Ti
2.780 1.605 2.103 Ti
0.000 0.000 6.859 Ti
0.000 3.210 11.616 Ti
0.000 3.210 8.963 Ti
2.780 1.605 4.756 Ti
```

The following is a DFT calculation (PBEsol) of crystalline Sr2Ti2O5 at its relaxed geometry.

Results
The calculated density comes out at 4.993 g/cm3. The value obtained for the total energy is -8.106 eV per atom. The energy relative to the elements, uncorrected is -2.93 eV/atom.

Cell and atoms, written as POSCAR:
```
Sr2Ti2O5
1.0
-0.995 -1.275 -3.534
3.302 -4.330 0.632
-4.247 -2.702 2.171
O Sr Ti
5 2 2
Cartesian
-0.264 -1.965 0.783 O
-2.621 -1.989 -0.682 O
-0.681 -5.067 2.020 O
1.153 -2.802 -1.451 O
-0.498 -0.637 -1.767 O
-2.416 -3.097 1.798 Sr
1.471 -3.935 1.005 Sr
-0.736 -2.415 -1.059 Ti
-1.204 -5.892 0.327 Ti
```

The following is a DFT calculation (PBEsol) of crystalline SrTiO3 at its relaxed geometry.

Results
The calculated density comes out at 4.664 g/cm3. The value obtained for the total energy is -8.263 eV per atom. The energy relative to the elements, uncorrected is -3.08 eV/atom.

Cell and atoms, written as POSCAR:
```
SrTiO3
1.0
5.365 0.000 0.000
2.682 4.646 0.000
2.682 1.549 5.242
O Sr Ti
6 2 2
Cartesian
6.520 5.021 3.770 O
4.276 5.059 1.472 O
3.121 3.136 3.770 O
4.210 1.174 1.472 O
6.453 1.135 3.770 O
7.608 3.059 1.472 O
5.365 3.097 0.569 Sr
5.365 3.097 4.672 Sr
2.682 1.549 2.827 Ti
8.047 4.646 2.414 Ti
```

The following is a DFT calculation (PBEsol) of crystalline Sr3Ti2O7 at its relaxed geometry.

Results
The calculated density comes out at 5.092 g/cm3. The value obtained for the total energy is -8.059 eV per atom. The energy relative to the elements, uncorrected is -3.15 eV/atom.

Cell and atoms, written as POSCAR:
```
Sr3Ti2O7
1.0
3.893 0.000 0.000
0.000 3.893 0.000
-1.946 -1.946 10.127
O Ti Sr
7 2 3
Cartesian
1.946 1.946 6.195 O
0.000 1.946 8.179 O
0.000 1.946 1.949 O
0.000 0.000 0.000 O
1.946 0.000 1.949 O
1.946 0.000 8.179 O
0.000 0.000 3.932 O
1.946 1.946 8.147 Ti
0.000 0.000 1.980 Ti
1.946 1.946 3.731 Sr
0.000 0.000 6.396 Sr
1.946 1.946 0.000 Sr
```